This record from the Alexandria database describes a relaxed structure of AlBMo2N. The functional is PBE.

Computed properties:
The uncorrected formation energy is 0.188 eV per atom. The space-group type is No. 123. The calculation puts the energy at -39.5 eV per cell. Its volume is 58 Å³/f.u. The value obtained for the total magnetic moment is 0.00 Bohr magnetons per cell.

Cell: 4.4031 2.9787 4.4031 Å, 90.00 90.00 90.00°
Sites, in units of the cell vectors:
1 Al 0.5000 0.5000 0.5000
2 Mo 0.5000 0.0000 0.0000
3 Mo 0.0000 0.0000 0.5000
4 B 0.0000 0.5000 0.0000
5 N 0.0000 0.0000 0.0000